# PBE Ac2GaAg5, relaxed
# ΔE to the lowest computed polymorph   132 meV per atom
data_Ac2GaAg5
_cell_length_a 6.171
_cell_length_b 6.171
_cell_length_c 10.886
_cell_angle_alpha 90.00
_cell_angle_beta 90.00
_cell_angle_gamma 90.00
_symmetry_space_group_name_H-M 'I 4 m m'
_symmetry_Int_Tables_number 107
_symmetry_space_group_name_Hall 'I 4 -2'
loop_
_atom_site_label
_atom_site_fract_x
_atom_site_fract_y
_atom_site_fract_z
_atom_site_occupancy
Ac1 0.000 0.500 0.000 1
Ga1 0.000 0.000 0.121 1
Ag1 0.000 0.000 0.395 1
Ag2 0.228 0.228 0.745 1

=====

## AcGa6Ag12 (PBE)

Data for a geometry-optimized AcGa6Ag12 structure.

Structure (CIF):
```
data_AcGa6Ag12
_cell_length_a 11.8954
_cell_length_b 11.8954
_cell_length_c 9.1791
_cell_angle_alpha 90.00
_cell_angle_beta 90.00
_cell_angle_gamma 120.00
_symmetry_space_group_name_H-M 'R -3 m'
_symmetry_Int_Tables_number 166
_symmetry_space_group_name_Hall '-R 3 2"'
loop_
_atom_site_label
_atom_site_fract_x
_atom_site_fract_y
_atom_site_fract_z
_atom_site_occupancy
Ac1 0.0000 0.0000 0.0000 1
Ga1 0.0374 0.5187 0.2570 1
Ag1 0.0000 0.3823 0.5000 1
Ag2 0.0832 0.1665 0.3270 1
```

=====

# PBE Ac3GaAg, relaxed
# ΔE to the lowest computed polymorph   0 meV per atom
data_Ac3GaAg
_cell_length_a 5.640
_cell_length_b 21.278
_cell_length_c 5.621
_cell_angle_alpha 90.00
_cell_angle_beta 90.00
_cell_angle_gamma 90.00
_symmetry_space_group_name_H-M 'C m c m'
_symmetry_Int_Tables_number 63
_symmetry_space_group_name_Hall '-C 2c 2'
loop_
_atom_site_label
_atom_site_fract_x
_atom_site_fract_y
_atom_site_fract_z
_atom_site_occupancy
Ac1 0.000 0.066 0.250 1
Ac2 0.000 0.248 0.250 1
Ac3 0.000 0.429 0.250 1
Ga1 0.000 0.155 0.750 1
Ag1 0.000 0.342 0.750 1

=====

# PBE AcGa2Ag6, relaxed
# ΔE to the lowest computed polymorph   0 meV per atom
data_AcGa2Ag6
_cell_length_a 4.471
_cell_length_b 4.471
_cell_length_c 9.243
_cell_angle_alpha 90.00
_cell_angle_beta 90.00
_cell_angle_gamma 90.00
_symmetry_space_group_name_H-M 'P 4/m m m'
_symmetry_Int_Tables_number 123
_symmetry_space_group_name_Hall '-P 4 2'
loop_
_atom_site_label
_atom_site_fract_x
_atom_site_fract_y
_atom_site_fract_z
_atom_site_occupancy
Ac1 0.000 0.000 0.000 1
Ga1 0.500 0.500 0.139 1
Ag1 0.000 0.000 0.500 1
Ag2 0.000 0.500 0.297 1
Ag3 0.500 0.500 0.500 1

=====

# PBE AcGaAg3, relaxed
# ΔE to the lowest computed polymorph   182 meV per atom
data_AcGaAg3
_cell_length_a 4.997
_cell_length_b 4.997
_cell_length_c 4.997
_cell_angle_alpha 90.00
_cell_angle_beta 90.00
_cell_angle_gamma 90.00
_symmetry_space_group_name_H-M 'P m -3 m'
_symmetry_Int_Tables_number 221
_symmetry_space_group_name_Hall '-P 4 2 3'
loop_
_atom_site_label
_atom_site_fract_x
_atom_site_fract_y
_atom_site_fract_z
_atom_site_occupancy
Ac1 0.000 0.000 0.000 1
Ga1 0.500 0.500 0.500 1
Ag1 0.000 0.500 0.500 1

=====

## Ac2GaAg2 (PBE)

Data for a geometry-optimized Ac2GaAg2 structure.

Structure (CIF):
```
data_Ac2GaAg2
_cell_length_a 11.562
_cell_length_b 4.710
_cell_length_c 11.822
_cell_angle_alpha 90.00
_cell_angle_beta 117.34
_cell_angle_gamma 90.00
_symmetry_space_group_name_H-M 'C 1 2/m 1'
_symmetry_Int_Tables_number 12
_symmetry_space_group_name_Hall '-C 2y'
loop_
_atom_site_label
_atom_site_fract_x
_atom_site_fract_y
_atom_site_fract_z
_atom_site_occupancy
Ac1 0.030 0.000 0.347 1
Ac2 0.197 0.000 0.112 1
Ga1 0.232 0.500 0.342 1
Ag1 0.009 0.500 0.881 1
Ag2 0.143 0.500 0.569 1
```

=====

# PBE AcGa2Ag9, relaxed
# ΔE to the lowest computed polymorph   0 meV per atom
data_AcGa2Ag9
_cell_length_a 11.442
_cell_length_b 11.442
_cell_length_c 7.296
_cell_angle_alpha 90.00
_cell_angle_beta 90.00
_cell_angle_gamma 90.00
_symmetry_space_group_name_H-M 'I 41/a m d'
_symmetry_Int_Tables_number 141
loop_
_symmetry_equiv_pos_as_xyz
'x,y,z'
'-x,-y,-z'
'-y+1/4,x+3/4,z+1/4'
'y+1/4,-x+3/4,-z+1/4'
'-x+1/2,-y,z+1/2'
'x+1/2,y,-z+1/2'
'y+1/4,-x+1/4,z+3/4'
'-y+1/4,x+1/4,-z+3/4'
'x,-y,-z'
'-x,y,z'
'-y+1/4,-x+1/4,-z+3/4'
'y+1/4,x+1/4,z+3/4'
'-x+1/2,y,-z+1/2'
'x+1/2,-y,z+1/2'
'y+1/4,x+3/4,-z+1/4'
'-y+1/4,-x+3/4,z+1/4'
'x+1/2,y+1/2,z+1/2'
'-x+1/2,-y+1/2,-z+1/2'
'-y+3/4,x+1/4,z+3/4'
'y+3/4,-x+1/4,-z+3/4'
'-x,-y+1/2,z'
'x,y+1/2,-z'
'y+3/4,-x+3/4,z+1/4'
'-y+3/4,x+3/4,-z+1/4'
'x+1/2,-y+1/2,-z+1/2'
'-x+1/2,y+1/2,z+1/2'
'-y+3/4,-x+3/4,-z+1/4'
'y+3/4,x+3/4,z+1/4'
'-x,y+1/2,-z'
'x,-y+1/2,z'
'y+3/4,x+1/4,-z+3/4'
'-y+3/4,-x+1/4,z+3/4'
loop_
_atom_site_label
_atom_site_fract_x
_atom_site_fract_y
_atom_site_fract_z
_atom_site_occupancy
Ac1 0.000 0.250 0.375 1
Ga1 0.000 0.000 0.000 1
Ag1 0.000 0.250 0.875 1
Ag2 0.122 0.047 0.684 1

=====

## AcGa4Ag12 (PBE)

Data for a geometry-optimized AcGa4Ag12 structure.

Structure (CIF):
```
data_AcGa4Ag12
_cell_length_a 9.104
_cell_length_b 9.104
_cell_length_c 9.104
_cell_angle_alpha 90.00
_cell_angle_beta 90.00
_cell_angle_gamma 90.00
_symmetry_space_group_name_H-M 'I m -3'
_symmetry_Int_Tables_number 204
_symmetry_space_group_name_Hall '-I 2 2 3'
loop_
_atom_site_label
_atom_site_fract_x
_atom_site_fract_y
_atom_site_fract_z
_atom_site_occupancy
Ac1 0.000 0.000 0.000 1
Ga1 0.250 0.250 0.250 1
Ag1 0.000 0.156 0.348 1
```

=====

| no. | energy of formation (eV/atom) |
| --- | --- |
| 1 | -0.1374 |
| 2 | -0.0332 |
| 3 | -0.2696 |
| 4 | -0.1946 |
| 5 | -0.0842 |
| 6 | -0.3460 |
| 7 | -0.1260 |
| 8 | 0.1761 |